# 1
Here is SrTi2O after structural relaxation from Alexandria. Energies are from GGA-PBE.

a b c (Å): 6.5639 6.5639 6.5639
angles (deg): 90.00 90.00 90.00
With the nearest neighbours (Å) after each atom.
Space group Fm-3m (No. 225)
Inequivalent atoms, fractional coordinates:
Sr 0.0000 0.0000 0.0000  8 Ti 2.84
Ti 0.2500 0.2500 0.2500  4 O 2.84, 4 Sr 2.84
O 0.0000 0.0000 0.5000  8 Ti 2.84

Output
Fermi-level density of states ... 1.575 states/eV per atom
Magnetization ... 0.66 μB per atom
Formation energy without anion corrections ... 0.981 eV/atom
Energy above the most stable polymorph in this dataset ... 1.9271 eV/atom

---

# 2
Here is YSe after structural relaxation from Alexandria. Energies are from GGA-PBE.

a b c (Å): 4.1909 4.1909 29.0365
angles (deg): 90.00 90.00 120.00
With the nearest neighbours (Å) after each atom.
Space group R-3m (No. 166, hexagonal axes)
Inequivalent atoms, fractional coordinates:
Y 0.0000 0.0000 0.1083  3 Se 2.74
Se 0.0000 0.0000 0.3973  3 Y 2.74

Output
Fermi-level density of states ... 0.492 states/eV per atom
Magnetization ... 0.26 μB per atom
Formation energy without anion corrections ... -1.193 eV/atom